Entry 1:
HAuS2Cl: optimized geometry, PBE-GGA.

Lattice parameters (Å, degrees): 3.654 3.654 7.431 90.00 90.00 90.00
Fractional positions:
1 H 0.000 0.000 0.000
2 Au 0.500 0.500 0.500
3 S 0.000 0.500 0.000
4 S 0.500 0.000 0.000
5 Cl 0.000 0.000 0.500

Calculated values
The calculation puts the energy above the most stable polymorph in this dataset at 0 kJ/mol of formula units. For the energy, the calculation gives -2.795 eV per atom. The space group is P4/mmm.


Entry 2:
Al2Zn2Ag3: optimized geometry, PBE-GGA.

Lattice parameters (Å, degrees): 3.009 6.330 6.727 111.97 90.43 101.69
Fractional positions:
1 Al 0.156 0.283 0.424
2 Al 0.844 0.717 0.576
3 Zn 0.440 0.864 0.290
4 Zn 0.560 0.136 0.710
5 Ag 0.000 0.000 0.000
6 Ag 0.277 0.559 0.843
7 Ag 0.723 0.441 0.157

Calculated values
As for the formation energy: -20 meV/atom. The calculation puts the energy above the most stable polymorph in this dataset at 0 kJ/mol of formula units. For the energy, the calculation gives -2.676 eV per atom. The space group is P-1.